The following is a DFT calculation (PBE) of Ac2Ge2Os2C after structural relaxation.

POSCAR file:
```
Ac2Ge2Os2C
1.0
5.845 -2.153 0.000
5.845 2.153 0.000
-4.505 0.000 5.963
Ac Ge Os C
2 2 2 1
Direct
0.059 0.059 0.303
0.941 0.941 0.697
0.319 0.319 0.265
0.681 0.681 0.735
0.312 0.312 0.921
0.688 0.688 0.079
0.500 0.500 0.000
```

Output
Calculated formation energy   -472.6 meV per atom
Electronic total energy   -52.4 eV/f.u.
Symmetry   C2/m, No. 12